SrLaIN2 | Alexandria | PBE | relaxed; formation energy from raw total energies = -142 meV/atom; M_tot = 1.42 μB/cell; calculated volume = 26.9 A^3/atom; DOS at the Fermi energy = 0.292 states/eV/atom; DFT total energy = -25.52 eV/cell
1.0
-1.8757 1.1266 -4.0928
-3.6652 -2.6871 0.9401
-2.8768 4.8525 2.6542
N Sr La I
2 1 1 1
Direct
0.0000 0.5000 0.0000
0.5000 0.0000 0.0000
0.5000 0.5000 0.5000
0.0000 0.0000 0.0000
0.0000 0.0000 0.5000


PuHf2Pa3P6 | Alexandria | PBE | relaxed; E_form = -15.6 eV per formula unit; M_tot = 5.45 μB/cell; calculated volume = 20.6 A^3/atom; DOS at the Fermi energy = 1.146 states/eV/atom; DFT total energy = -110.80 eV/cell
1.0
6.7470 -0.0062 -0.0019
-3.3772 5.8410 -0.0019
-1.1259 -1.9495 6.2715
P Pu Pa Hf
6 1 3 2
Direct
0.7347 0.7347 0.2340
0.5772 0.9204 0.7612
0.9204 0.5772 0.7612
0.0796 0.4228 0.2388
0.2653 0.2653 0.7660
0.4228 0.0796 0.2388
0.0000 0.0000 0.0000
0.1636 0.8364 0.5000
0.5000 0.5000 0.5000
0.8364 0.1636 0.5000
0.3328 0.6672 0.0000
0.6672 0.3328 0.0000


Tb2SmEu | Alexandria | PBE | relaxed; E_form = 0.3 eV per formula unit; M_tot = 7.09 μB/cell; calculated volume = 33.9 A^3/atom; DOS at the Fermi energy = 1.470 states/eV/atom; DFT total energy = -23.93 eV/cell
1.0
5.1364 0.0000 0.0000
0.0000 5.1369 0.0000
0.0000 0.0000 5.1369
Tb Sm Eu
2 1 1
Direct
0.0000 0.0000 0.5000
0.0000 0.5000 0.0000
0.5000 0.0000 0.0000
0.5000 0.5000 0.5000